# 1
Nd3HoAl2: relaxed, GGA-PBE.

a b c (Å): 5.2188 6.6848 9.7611
angles (deg): 90.00 90.00 90.00
Closest atoms and distances in Å follow each position.
Fractional positions:
Nd: 0.0000 0.4750 0.9585  3 Al 3.22-3.26, 4 Nd 3.44-3.49
Nd: 0.0000 0.9750 0.0415  3 Al 3.22-3.26, 4 Nd 3.44-3.49
Nd: 0.5000 0.6913 0.1784  5 Al 3.19-3.45, 2 Nd 3.49, 1 Ho 3.50
Nd: 0.5000 0.1913 0.8216  5 Al 3.19-3.45, 2 Nd 3.49, 1 Ho 3.50
Nd: 0.0000 0.3084 0.3316  5 Al 3.08-3.43, 2 Ho 3.45
Nd: 0.0000 0.8084 0.6684  5 Al 3.08-3.43, 2 Ho 3.45
Ho: 0.5000 0.5226 0.5445  3 Al 3.18-3.21, 3 Nd 3.45-3.50, 2 Ho 3.45
Ho: 0.5000 0.0226 0.4555  3 Al 3.18-3.21, 3 Nd 3.45-3.50, 2 Ho 3.45
Al: 0.5000 0.7065 0.8488  1 Ho 3.21, 7 Nd 3.22-3.45
Al: 0.5000 0.2065 0.1512  1 Ho 3.21, 7 Nd 3.22-3.45
Al: 0.0000 0.2962 0.6473  6 Nd 3.08-3.43, 2 Ho 3.18
Al: 0.0000 0.7962 0.3527  6 Nd 3.08-3.43, 2 Ho 3.18

**ΔH_f (0 K)**: -0.256 eV per atom
**Density of states at the Fermi level**: 0.959 states/eV per atom



# 2
Mn2TcRu: relaxed, GGA-PBE.

a b c (Å): 8.6054 8.6054 8.6054
angles (deg): 17.64 17.64 17.64
Closest atoms and distances in Å follow each position.
Fractional positions:
Mn: 0.9965 0.9965 0.9965  9 Mn 2.47-2.64, 3 Tc 2.60
Mn: 0.2531 0.2531 0.2531  9 Mn 2.47-2.64, 3 Ru 2.59
Ru: 0.5042 0.5042 0.5042  3 Mn 2.59, 6 Ru 2.64, 3 Tc 2.77
Tc: 0.7462 0.7462 0.7462  3 Mn 2.60, 6 Tc 2.64, 3 Ru 2.77

**ΔH_f (0 K)**: 0.157 eV per atom
**Density of states at the Fermi level**: 1.199 states/eV per atom



# 3
CaTl2In: relaxed, GGA-PBE.

a b c (Å): 5.8208 6.6103 3.5896
angles (deg): 75.13 88.07 115.54
Closest atoms and distances in Å follow each position.
Fractional positions:
Tl: 0.0000 0.0000 0.0000  2 Ca 3.33, 2 In 3.33, 6 Tl 3.37-3.59
Tl: 0.5000 0.0000 0.5000  2 In 3.33, 2 Ca 3.33, 6 Tl 3.37-3.59
Ca: 0.0000 0.5000 0.5000  4 Tl 3.33, 4 In 3.37-3.47, 2 Ca 3.59
In: 0.5000 0.5000 0.0000  4 Tl 3.33, 4 Ca 3.37-3.47, 2 In 3.59

**ΔH_f (0 K)**: -0.171 eV per atom
**Density of states at the Fermi level**: 0.620 states/eV per atom



# 4
NaSeICl2: relaxed, GGA-PBE.

a b c (Å): 4.8602 7.2111 4.8602
angles (deg): 90.00 90.00 90.00
Closest atoms and distances in Å follow each position.
Fractional positions:
I: 0.5000 0.5000 0.5000  4 Na 3.44
Na: 0.0000 0.5000 0.0000  4 I 3.44, 2 Se 3.61
Se: 0.0000 0.0000 0.0000  4 Cl 2.43
Cl: 0.0000 0.0000 0.5000  2 Se 2.43
Cl: 0.5000 0.0000 0.0000  2 Se 2.43

**Energy relative to the elements, uncorrected**: -0.438 eV/atom
**Density of states at the Fermi level**: 0.496 states/eV per atom



# 5
AgP2Br: relaxed, GGA-PBE.

a b c (Å): 8.0994 3.6038 3.6038
angles (deg): 90.00 90.00 90.00
Closest atoms and distances in Å follow each position.
Fractional positions:
Ag: 0.5000 0.5000 0.0000  4 Br 2.55
Br: 0.5000 0.0000 0.5000  4 Ag 2.55
P: 0.0000 0.0000 0.0000  4 P 2.55
P: 0.0000 0.5000 0.5000  4 P 2.55

**Polymorph energy (0 for the lowest one)**: 416 meV/atom
**Energy relative to the elements, uncorrected**: 0.438 eV/atom
**Density of states at the Fermi level**: 0.293 states/eV per atom



# 6
Y2WCl: relaxed, GGA-PBE.

a b c (Å): 6.7155 6.7155 6.7155
angles (deg): 152.70 135.04 53.40
Closest atoms and distances in Å follow each position.
Fractional positions:
Cl: 0.4850 0.4850 0.0000  6 Y 2.99-3.02, 2 Cl 3.17
W: 0.7630 0.2630 0.5000  6 Y 3.02-3.03, 2 W 3.17
Y: 0.9785 0.9785 0.0000  4 Cl 3.02, 2 W 3.03, 2 Y 3.17
Y: 0.2735 0.7735 0.5000  2 Cl 2.99, 4 W 3.02, 2 Y 3.17

**Polymorph energy (0 for the lowest one)**: 522 meV/atom
**Energy relative to the elements, uncorrected**: 0.142 eV/atom
**Density of states at the Fermi level**: 0.687 states/eV per atom



# 7
SnMoHRh2: relaxed, GGA-PBE.

a b c (Å): 4.0050 4.0050 4.1506
angles (deg): 90.00 90.00 90.00
Closest atoms and distances in Å follow each position.
Fractional positions:
H: 0.0000 0.0000 0.0000  4 Rh 2.00, 2 Mo 2.08
Mo: 0.0000 0.0000 0.5000  2 H 2.08
Rh: 0.0000 0.5000 0.0000  2 H 2.00
Rh: 0.5000 0.0000 0.0000  2 H 2.00
Sn: 0.5000 0.5000 0.5000  4 Mo 2.83, 8 Rh 2.88

**Total DFT energy (no corrections)**: -6.637 eV/atom
**Density of states at the Fermi level**: 1.046 states/eV per atom



# 8
Pr3Ga4Si2: relaxed, GGA-PBE.

a b c (Å): 4.2049 6.0396 8.4722
angles (deg): 98.81 90.00 110.37
Closest atoms and distances in Å follow each position.
Fractional positions:
Pr: 0.6676 0.3351 0.6646  8 Ga 3.24-3.29, 4 Si 3.24-3.27
Pr: 0.0000 0.0000 0.0000  8 Ga 3.22-3.27, 4 Si 3.25
Pr: 0.3324 0.6649 0.3354  8 Ga 3.24-3.29, 4 Si 3.24-3.27
Ga: 0.7245 0.4490 0.0586  1 Si 2.42, 2 Ga 2.43
Ga: 0.2755 0.5510 0.9414  1 Si 2.42, 2 Ga 2.43
Ga: 0.9466 0.8932 0.6148  2 Si 2.43, 1 Ga 2.45
Ga: 0.0534 0.1068 0.3852  2 Si 2.43, 1 Ga 2.45
Si: 0.6110 0.2220 0.2766  3 Ga 2.42-2.43
Si: 0.3890 0.7780 0.7234  3 Ga 2.42-2.43

**Energy relative to the elements, uncorrected**: -0.709 eV/atom
**Density of states at the Fermi level**: 0.349 states/eV per atom



# 9
KCrI2Cl: relaxed, GGA-PBE.

a b c (Å): 5.7965 5.7965 4.8619
angles (deg): 90.00 90.00 90.00
Closest atoms and distances in Å follow each position.
Fractional positions:
I: 0.0000 0.5000 0.0000  2 Cr 2.90
I: 0.5000 0.0000 0.0000  2 Cr 2.90
Cr: 0.0000 0.0000 0.0000  2 Cl 2.43
K: 0.5000 0.5000 0.5000  8 I 3.78, 4 Cl 4.10
Cl: 0.0000 0.0000 0.5000  2 Cr 2.43

**Energy relative to the elements, uncorrected**: -0.927 eV/atom
**Density of states at the Fermi level**: 0.168 states/eV per atom



# 10
Li2TaAsO6: relaxed, GGA-PBE.

a b c (Å): 4.5430 5.1818 5.1818
angles (deg): 90.00 90.00 90.00
Closest atoms and distances in Å follow each position.
Fractional positions:
Li: 0.9550 0.5000 0.0000  4 O 2.12
Li: 0.9550 0.0000 0.5000  4 O 2.12
Ta: 0.6052 0.5000 0.5000  5 O 1.79-1.98
As: 0.5987 0.0000 0.0000  5 O 1.67-1.84
O: 0.7230 0.2392 0.2392  1 As 1.84, 1 Ta 1.98
O: 0.7230 0.2392 0.7608  1 As 1.84, 1 Ta 1.98
O: 0.2104 0.5000 0.5000  1 Ta 1.79
O: 0.2304 0.0000 0.0000  1 As 1.67
O: 0.7230 0.7608 0.7608  1 As 1.84, 1 Ta 1.98
O: 0.7230 0.7608 0.2392  1 As 1.84, 1 Ta 1.98

**Energy relative to the elements, uncorrected**: -1.969 eV/atom
**Density of states at the Fermi level**: 0.000 states/eV per atom



# 11
KAuSe2: relaxed, GGA-PBE.

a b c (Å): 5.3128 5.3128 5.3128
angles (deg): 126.29 126.29 79.41
Closest atoms and distances in Å follow each position.
Fractional positions:
Au: 0.2500 0.7500 0.5000  8 Se 3.15, 4 K 3.39
K: 0.7500 0.2500 0.5000  8 Se 3.15, 4 Au 3.39
Se: 0.0000 0.0000 0.0000  4 Au 3.15, 4 K 3.15, 4 Se 3.39
Se: 0.5000 0.5000 0.0000  4 K 3.15, 4 Au 3.15, 4 Se 3.39

**Energy relative to the elements, uncorrected**: 0.020 eV/atom
**Density of states at the Fermi level**: 0.791 states/eV per atom